The following is a PBE-GGA calculation of a geometry-optimized KYZn2 structure, from Alexandria.

Output
- Density of states at the Fermi level: 0.274 states/eV/atom
- Symmetry: No. 216
- Crystal system: cubic
- DFT formation energy: 111 kJ/mol of formula units
- Offset from the most stable computed form: 122 kJ/mol of formula units

Unit cell a=5.0685 b=5.0685 c=5.0685 alpha=60.00 beta=60.00 gamma=60.00
With the nearest neighbours (Å) after each atom.
Element x y z (fractional)
Zn  0.7500  0.7500  0.7500  4 Zn 3.10, 4 K 3.10
Zn  0.0000  0.0000  0.0000  4 Zn 3.10, 4 Y 3.10
K  0.5000  0.5000  0.5000  4 Zn 3.10, 4 Y 3.10
Y  0.2500  0.2500  0.2500  4 K 3.10, 4 Zn 3.10